Compound: La2Pr3Pd2
Source: Alexandria
Functional: PBE-GGA
Structure: optimized geometry

a b c (Å): 12.6167 3.9383 9.4260
angles (deg): 90.00 113.91 90.00
Space group C2/m (No. 12)
Unique sites:
La 0.1599 0.0000 0.3072 [4 per cell]
Pr 0.0000 0.5000 0.5000 [2 per cell]
Pr 0.1162 0.5000 0.9361 [4 per cell]
Pd 0.1653 0.0000 0.7257 [4 per cell]

Results
Energy of formation from the pure elements   -0.45 eV per atom